[1]
Below is a geometry-optimized Cd3AsI3 structure, with properties calculated at the PBE level.

The structure in POSCAR format:
```
Cd3AsI3
1.0
4.6088 0.0000 0.0000
0.0000 7.5582 -0.0834
0.0000 0.0359 7.9472
Cd As I
3 1 3
direct
0.5000 0.3984 0.1406
0.0000 0.9629 0.3066
0.5000 0.9231 0.8836
0.5000 0.0580 0.1841
0.0000 0.0515 0.6784
0.0000 0.5613 0.3249
0.5000 0.5528 0.8152
```

Summary:
Distance to the lowest polymorph of the same formula ... 0.00 eV/f.u.
Space-group type ... Pm



[2]
Below is a geometry-optimized Ti6InGa3 structure, with properties calculated at the PBE level.

The structure in POSCAR format:
```
Ti6InGa3
1.0
6.6530 0.0000 0.0000
0.0000 7.1663 0.8234
0.0000 -0.7965 7.1694
Ti In Ga
12 2 6
direct
0.1485 0.6818 0.6819
0.6485 0.6819 0.6818
0.3986 0.4884 0.9908
0.8986 0.9908 0.4884
0.1761 0.1660 0.8340
0.6210 0.1660 0.8340
0.1210 0.8340 0.1660
0.6761 0.8340 0.1660
0.3986 0.0092 0.5116
0.8986 0.5116 0.0092
0.1485 0.3181 0.3182
0.6485 0.3182 0.3181
0.8984 0.3629 0.6371
0.3984 0.6371 0.3629
0.3985 0.8597 0.8869
0.8985 0.8869 0.8597
0.3986 0.3757 0.6243
0.8986 0.6243 0.3757
0.8985 0.1403 0.1131
0.3985 0.1131 0.1403
```

Summary:
Formation enthalpy at 0 K ... -0.27 eV/atom
Space-group type ... Cmcm



[3]
Below is a geometry-optimized Ba4BrN2 structure, with properties calculated at the PBE level.

The structure in POSCAR format:
```
Ba4BrN2
1.0
8.6039 -0.5606 0.5544
-1.1785 8.5408 -0.5538
-3.0878 -4.5715 6.6786
Ba Br N
8 2 4
direct
0.9238 0.1321 0.2955
0.4149 0.6184 0.2935
0.8365 0.6283 0.7044
0.8331 0.1552 0.6914
0.4638 0.1417 0.3087
0.3250 0.1215 0.7067
0.4162 0.6090 0.8228
0.7862 0.5934 0.1771
0.1326 0.6327 0.5000
0.1181 0.1181 0.0000
0.6038 0.3750 0.7291
0.6459 0.8748 0.2710
0.6263 0.4622 0.3383
0.1239 0.2878 0.6615
```

Summary:
Distance to the lowest polymorph of the same formula ... 0.80 eV/f.u.
Space-group type ... C2



[4]
Below is a geometry-optimized HoEr3Tm2Bi6 structure, with properties calculated at the PBE level.

The structure in POSCAR format:
```
HoEr3Tm2Bi6
1.0
-0.8182 3.3387 2.8090
-6.5830 2.8118 -5.2597
-4.0323 -7.8159 4.6074
Ho Er Tm Bi
1 3 2 6
direct
0.5000 0.0000 0.0000
0.5000 0.5000 0.0000
0.8336 0.1669 0.6673
0.1664 0.8331 0.3327
0.8332 0.6668 0.6664
0.1668 0.3332 0.3336
0.3330 0.9159 0.6659
0.6669 0.5825 0.3338
0.6670 0.0841 0.3341
0.0004 0.2510 0.0008
0.9996 0.7490 0.9992
0.3331 0.4175 0.6662
```

Summary:
Formation enthalpy at 0 K ... -0.81 eV/atom
Space-group type ... C2/m



[5]
Below is a geometry-optimized Pm3Nd6Sm structure, with properties calculated at the PBE level.

The structure in POSCAR format:
```
Pm3Nd6Sm
1.0
6.5018 0.0000 0.0000
0.0000 11.0504 -1.7306
0.0000 -4.1528 10.3856
Pm Nd Sm
6 12 2
direct
0.4612 0.9424 0.7073
0.9612 0.7073 0.9424
0.0869 0.3834 0.6166
0.5869 0.6166 0.3834
0.9612 0.0576 0.2927
0.4612 0.2927 0.0576
0.0562 0.7103 0.6294
0.5562 0.6294 0.7103
0.3732 0.5267 0.9425
0.8732 0.9425 0.5267
0.3585 0.9658 0.0342
0.6494 0.2796 0.7204
0.1494 0.7204 0.2796
0.8585 0.0342 0.9658
0.3732 0.0575 0.4733
0.8732 0.4733 0.0575
0.0562 0.3706 0.2897
0.5562 0.2897 0.3706
0.1094 0.1907 0.8093
0.6094 0.8093 0.1907
```

Summary:
Formation enthalpy at 0 K ... 0.13 eV/atom
Distance to the lowest polymorph of the same formula ... 0.00 eV/f.u.
Space-group type ... Cmc2_1



[6]
Below is a geometry-optimized TmUTeN2 structure, with properties calculated at the PBE level.

The structure in POSCAR format:
```
TmUTeN2
1.0
3.8975 0.0000 0.0000
0.0000 3.8975 0.0000
-1.9487 -1.9487 6.2333
Tm U Te N
1 1 1 2
direct
0.8381 0.8381 0.6762
0.1675 0.1675 0.3350
0.5038 0.5038 0.0077
0.7453 0.2453 0.4906
0.2453 0.7453 0.4906
```

Summary:
Total DFT energy (no corrections) ... -8.616 eV per atom
Space-group type ... I4mm